Entry 1:
The following is a PBE-GGA calculation of a geometry-optimized AlCuTc structure, from Alexandria.

a = 4.048 Å, b = 4.048 Å, c = 4.048 Å
α = 60.00°, β = 60.00°, γ = 60.00°
Sites, in units of the cell vectors:
Tc 0.000 0.000 0.000
Cu 0.750 0.750 0.750
Al 0.500 0.500 0.500

Values from the calculation:
The formation energy comes out at 0.3675 eV/atom. As for the density of states at the Fermi level: 3.30 states/eV per cell. The value obtained for the raw total energy is -5.70 eV per atom.

Entry 2:
The following is a PBE-GGA calculation of a geometry-optimized AlCuTc3 structure, from Alexandria.

a = 4.441 Å, b = 4.441 Å, c = 4.441 Å
α = 90.00°, β = 90.00°, γ = 90.00°
Sites, in units of the cell vectors:
Tc 0.000 0.500 0.000
Tc 0.000 0.000 0.500
Tc 0.500 0.000 0.000
Cu 0.000 0.000 0.000
Al 0.500 0.500 0.500

Values from the calculation:
The formation energy comes out at 1.5105 eV/atom. As for the density of states at the Fermi level: 6.21 states/eV per cell. The value obtained for the raw total energy is -6.28 eV per atom.

Entry 3:
The following is a PBE-GGA calculation of a geometry-optimized Al4CuTc structure, from Alexandria.

a = 5.010 Å, b = 5.010 Å, c = 5.010 Å
α = 60.00°, β = 60.00°, γ = 60.00°
Sites, in units of the cell vectors:
Al 0.874 0.375 0.375
Al 0.375 0.375 0.874
Al 0.375 0.874 0.375
Al 0.375 0.375 0.375
Cu 0.750 0.750 0.750
Tc 0.000 0.000 0.000

Values from the calculation:
The formation energy comes out at 0.0808 eV/atom. As for the density of states at the Fermi level: 0.58 states/eV per cell. The value obtained for the raw total energy is -4.82 eV per atom.

Entry 4:
The following is a PBE-GGA calculation of a geometry-optimized Al2CuTc structure, from Alexandria.

a = 4.259 Å, b = 4.259 Å, c = 4.259 Å
α = 60.00°, β = 60.00°, γ = 60.00°
Sites, in units of the cell vectors:
Tc 0.500 0.500 0.500
Cu 0.000 0.000 0.000
Al 0.250 0.250 0.250
Al 0.750 0.750 0.750

Values from the calculation:
The formation energy comes out at -0.2701 eV/atom. As for the density of states at the Fermi level: 1.98 states/eV per cell. The value obtained for the raw total energy is -5.76 eV per atom.

Q: The lowest raw total energy belongs to which entry?
A: AlCuTc3

Q: What is the formula in the fourth record?
A: Al2CuTc

Q: Which of these has the lowest raw total energy?
A: AlCuTc3